No. 1
# DyHoIn2Ni4 (PBE, relaxed)
data_DyHoIn2Ni4
_space_group_name_H-M_alt 'P m m 2'
_space_group_IT_number 25
_cell_length_a 4.002
_cell_length_b 5.102
_cell_length_c 7.012
_cell_angle_alpha 90.00
_cell_angle_beta 90.00
_cell_angle_gamma 90.00
loop_
_space_group_symop_operation_xyz
'x,y,z'
'-x,-y,z'
'-x,y,z'
'x,-y,z'
loop_
_atom_site_label
_atom_site_type_symbol
_atom_site_fract_x
_atom_site_fract_y
_atom_site_fract_z
_atom_site_occupancy
Dy1 Dy 0.000 0.000 0.000 1
Ho1 Ho 0.000 0.500 0.469 1
In1 In 0.500 0.000 0.378 1
In2 In 0.500 0.500 0.091 1
Ni1 Ni 0.000 0.000 0.620 1
Ni2 Ni 0.000 0.500 0.848 1
Ni3 Ni 0.500 0.251 0.733 1
# - Energy above the most stable polymorph in this dataset: 0 kJ/mol of formula units
# - Raw total energy: -40.66 eV/cell
# - Calculated density: 9.18 Mg/m³

---

No. 2
# PrSbPb2O6 (PBE, relaxed)
data_PrSbPb2O6
_space_group_name_H-M_alt 'F m -3 m'
_space_group_IT_number 225
_space_group_name_Hall '-F 4 2 3'
_cell_length_a 8.548
_cell_length_b 8.548
_cell_length_c 8.548
_cell_angle_alpha 90.00
_cell_angle_beta 90.00
_cell_angle_gamma 90.00
loop_
_atom_site_label
_atom_site_type_symbol
_atom_site_fract_x
_atom_site_fract_y
_atom_site_fract_z
_atom_site_occupancy
Pr1 Pr 0.000 0.000 0.000 1
Sb1 Sb 0.000 0.000 0.500 1
Pb1 Pb 0.250 0.250 0.250 1
O1 O 0.000 0.250 0.250 1
# - Energy above the most stable polymorph in this dataset: 822 kJ/mol of formula units
# - Raw total energy: -222.36 eV/cell
# - Calculated density: 8.22 Mg/m³

---

No. 3
# SmYCu2Pb (PBE, relaxed)
data_SmYCu2Pb
_space_group_name_H-M_alt 'A m m 2'
_space_group_IT_number 38
_cell_length_a 3.687
_cell_length_b 4.263
_cell_length_c 14.120
_cell_angle_alpha 90.00
_cell_angle_beta 90.00
_cell_angle_gamma 90.00
loop_
_space_group_symop_operation_xyz
'x,y,z'
'-x,-y,z'
'-x,y,z'
'x,-y,z'
'x,y+1/2,z+1/2'
'-x,-y+1/2,z+1/2'
'-x,y+1/2,z+1/2'
'x,-y+1/2,z+1/2'
loop_
_atom_site_label
_atom_site_type_symbol
_atom_site_fract_x
_atom_site_fract_y
_atom_site_fract_z
_atom_site_occupancy
Sm1 Sm 0.000 0.000 0.000 1
Y1 Y 0.000 0.000 0.267 1
Cu1 Cu 0.500 0.000 0.428 1
Cu2 Cu 0.500 0.000 0.836 1
Pb1 Pb 0.500 0.000 0.635 1
# - Raw total energy: -48.35 eV/cell
# - Calculated density: 8.58 Mg/m³

---

No. 4
# HfMg2Sc (PBE, relaxed)
data_HfMg2Sc
_space_group_name_H-M_alt 'F -4 3 m'
_space_group_IT_number 216
_space_group_name_Hall 'F -4 2 3'
_cell_length_a 7.106
_cell_length_b 7.106
_cell_length_c 7.106
_cell_angle_alpha 90.00
_cell_angle_beta 90.00
_cell_angle_gamma 90.00
loop_
_atom_site_label
_atom_site_type_symbol
_atom_site_fract_x
_atom_site_fract_y
_atom_site_fract_z
_atom_site_occupancy
Hf1 Hf 0.000 0.000 0.000 1
Mg1 Mg 0.000 0.000 0.500 1
Mg2 Mg 0.250 0.250 0.250 1
Sc1 Sc 0.250 0.250 0.750 1
# - Raw total energy: -73.56 eV/cell
# - Calculated density: 5.04 Mg/m³